## ThGa3OsRu (PBE)

Data for a relaxed structure of ThGa3OsRu.

## Properties
The energy of formation is -0.204 eV/atom. As for the total energy: -152.909 eV per cell. Its total magnetization is 0.0 μB per formula unit.

Unit cell a=7.875 b=10.615 c=5.780 alpha=90.00 beta=90.00 gamma=90.00
Space group Cmcm (No. 63)
Asymmetric unit:
Th 0.000 0.210 0.250 [4 per cell]
Ga 0.000 0.318 0.750 [4 per cell]
Ga 0.242 0.000 0.000 [8 per cell]
Os 0.000 0.088 0.750 [4 per cell]
Ru 0.000 0.450 0.250 [4 per cell]

## La6Tb8Sc (PBE)

Data for a relaxed structure of La6Tb8Sc.

## Properties
The energy of formation is 0.108 eV/atom. As for the total energy: -213.950 eV per cell. Its total magnetization is 0.0 μB per formula unit.

Unit cell a=9.1434 b=9.1434 c=21.0582 alpha=90.00 beta=90.00 gamma=120.00
Space group R-3 (No. 148, hexagonal axes)
Asymmetric unit:
La 0.0556 0.2507 0.2116 [18 per cell]
Tb 0.0000 0.0000 0.0772 [6 per cell]
Tb 0.0818 0.5685 0.3049 [18 per cell]
Sc 0.0000 0.0000 0.5000 [3 per cell]

## Si2PRu (PBE)

Data for a relaxed structure of Si2PRu.

## Properties
As for the total energy: -24.373 eV per cell. The uncorrected formation energy comes out at 0.2897 eV per atom. Its total magnetization is 0.0 μB per formula unit.

Unit cell a=4.175 b=4.175 c=3.178 alpha=90.00 beta=90.00 gamma=90.00
Space group P4/mmm (No. 123)
Asymmetric unit:
Si 0.000 0.500 0.000 [2 per cell]
P 0.000 0.000 0.500 [1 per cell]
Ru 0.500 0.500 0.500 [1 per cell]

## SmGa2S4 (PBE)

Data for a relaxed structure of SmGa2S4.

## Properties
As for the total energy: -137.515 eV per cell. As for the polymorph energy (0 for the lowest one): 0.0000 eV per atom. The uncorrected formation energy comes out at -1.0137 eV per atom. Its total magnetization is 0.0 μB per formula unit.

Unit cell a=6.292 b=9.796 c=9.997 alpha=90.00 beta=90.00 gamma=90.00
Space group Cccm (No. 66)
Asymmetric unit:
Sm 0.000 0.000 0.250 [4 per cell]
Ga 0.005 0.281 0.000 [8 per cell]
S 0.211 0.071 0.500 [8 per cell]
S 0.250 0.250 0.180 [8 per cell]

Q: The lowest total energy belongs to which entry?
A: La6Tb8Sc

Q: Which of these has the highest total energy?
A: Si2PRu